1.
# Nb2AlRuPb

Crystalline Nb2AlRuPb at its relaxed geometry (GGA-PBE, Alexandria via LeMat-Bulk).

- spin magnetization (μB/f.u.) = 1.1
- final energy (eV per atom) = -5.101
- V (Å³/cell) = 125
- Fermi-level density of states (states/eV per cell) = 9.6

Unit cell a=5.1515 b=5.1515 c=4.7244 alpha=90.00 beta=90.00 gamma=90.00
With the nearest neighbours (Å) after each atom.
Positions (direct):
Nb 0.0000 0.5000 0.0000  2 Pb 2.58
Nb 0.5000 0.0000 0.0000  2 Pb 2.58
Al 0.0000 0.0000 0.5000  2 Pb 2.36
Ru 0.5000 0.5000 0.5000  8 Nb 3.49, 4 Al 3.64
Pb 0.0000 0.0000 0.0000  2 Al 2.36, 4 Nb 2.58


2.
# CdNiBr2

Crystalline CdNiBr2 at its relaxed geometry (GGA-PBE, Alexandria via LeMat-Bulk).

- spin magnetization (μB/f.u.) = 0.1
- raw formation energy (kJ per mole of atoms) = 26.5
- V (Å³/cell) = 86
- Fermi-level density of states (states/eV per cell) = 3.9
- energy relative to the lowest polymorph listed for this composition (eV/atom) = 0.515

Unit cell a=4.9633 b=4.9633 c=4.9633 alpha=60.00 beta=60.00 gamma=60.00
With the nearest neighbours (Å) after each atom.
Positions (direct):
Cd 0.0000 0.0000 0.0000  8 Br 3.04
Ni 0.5000 0.5000 0.5000  8 Br 3.04
Br 0.2500 0.2500 0.2500  4 Cd 3.04, 4 Ni 3.04
Br 0.7500 0.7500 0.7500  4 Cd 3.04, 4 Ni 3.04